A plane-wave DFT calculation with PBE with a Hubbard U was carried out for an optimized crystal structure of FePbW2O8.

Lattice parameters (Å, degrees): 5.1902 5.1902 8.3710 71.94 71.94 60.00
Last column: nearest neighbours and their distance in Å.
Fractional positions:
O 0.6752 0.6752 0.9744  1 W 1.83
O 0.3248 0.3248 0.0256  1 W 1.83
O 0.1151 0.7653 0.6757  1 W 1.82
O 0.2347 0.8849 0.3243  1 W 1.82
O 0.8849 0.5561 0.3243  1 W 1.82
O 0.4439 0.1151 0.6757  1 W 1.82
O 0.7653 0.4439 0.6757  1 W 1.82
O 0.5561 0.2347 0.3243  1 W 1.82
Pb 0.0000 0.0000 0.0000  12 O 3.00-3.09
W 0.7530 0.7530 0.7409  4 O 1.82-1.83
W 0.2470 0.2470 0.2591  4 O 1.82-1.83
Fe 0.5000 0.5000 0.5000  6 O 2.18

Summary:
**Volume**: 182.3 Å³ per cell
**SG**: R32, No. 155
**VASP energy**: -6.869 eV/atom